1.
The following is a GGA-PBE calculation of an optimized crystal structure of Er2Hg3Pb, from Alexandria.

For the energy above the most stable polymorph in this dataset, the calculation gives 9 meV/atom.

The structure belongs to space group P6/mmm (No. 191); the cell edges are 6.0729, 6.0729 and 5.3037 Å and the angles 90.00°, 90.00° and 120.00°. The asymmetric unit holds Er at (0.3333, 0.6667, 0.0000), Hg at (0.0000, 0.5000, 0.5000) and Pb at (0.0000, 0.0000, 0.0000).

2.
The following is a GGA-PBE calculation of an optimized crystal structure of ErHgPb, from Alexandria.

As for the final energy: -38.4 eV per cell.

The structure belongs to space group Pnma (No. 62); the cell edges are 6.591, 4.817 and 9.996 Å and the angles 90.00°, 90.00° and 90.00°. The asymmetric unit holds Er at (0.185, 0.250, 0.092), Hg at (0.188, 0.250, 0.417) and Pb at (0.046, 0.250, 0.744).

3.
The following is a GGA-PBE calculation of an optimized crystal structure of Er2Hg2Pb, from Alexandria.

For the energy above the most stable polymorph in this dataset, the calculation gives 134 meV/atom.

The structure belongs to space group P6_3/mmc (No. 194); the cell edges are 5.2456, 5.2456 and 11.7561 Å and the angles 90.00°, 90.00° and 120.00°. The asymmetric unit holds Er at (0.0000, 0.0000, 0.0000), Er at (0.3333, 0.6667, 0.2500), Hg at (0.3333, 0.6667, 0.5534) and Pb at (0.0000, 0.0000, 0.2500).

4.
The following is a GGA-PBE calculation of an optimized crystal structure of Er2Hg3Pb3, from Alexandria.

As for the final energy: -23.6 eV per cell.

The structure belongs to space group Pmmm (No. 47); the cell edges are 4.733, 4.779 and 9.208 Å and the angles 90.00°, 90.00° and 90.00°. The asymmetric unit holds Er at (0.000, 0.000, 0.246), Hg at (0.000, 0.500, 0.000), Hg at (0.500, 0.500, 0.242), Pb at (0.000, 0.500, 0.500), Pb at (0.500, 0.000, 0.000) and Pb at (0.500, 0.000, 0.500).

5.
The following is a GGA-PBE calculation of an optimized crystal structure of Er4Hg4Pb5, from Alexandria.

As for the final energy: -83.7 eV per cell.

The structure belongs to space group I4/m (No. 87); the cell edges are 12.138, 12.138 and 4.689 Å and the angles 90.00°, 90.00° and 90.00°. The asymmetric unit holds Er at (0.127, 0.772, 0.000), Hg at (0.088, 0.395, 0.000), Pb at (0.000, 0.000, 0.000) and Pb at (0.059, 0.204, 0.500).

6.
The following is a GGA-PBE calculation of an optimized crystal structure of Er10Hg3Pb3, from Alexandria.

As for the final energy: -64.1 eV per cell.

The structure belongs to space group P-62m (No. 189); the cell edges are 8.8683, 8.8683 and 6.6263 Å and the angles 90.00°, 90.00° and 120.00°. The asymmetric unit holds Er at (0.0000, 0.2385, 0.0000), Er at (0.0000, 0.7632, 0.5000), Er at (0.3333, 0.6667, 0.2420), Hg at (0.0000, 0.6030, 0.0000) and Pb at (0.0000, 0.3998, 0.5000).

7.
The following is a GGA-PBE calculation of an optimized crystal structure of Er2HgPb2, from Alexandria.

As for the final energy: -36.5 eV per cell.

The structure belongs to space group P2_1/m (No. 11); the cell edges are 6.339, 4.949 and 9.490 Å and the angles 90.00°, 99.03° and 90.00°. The asymmetric unit holds Er at (0.039, 0.250, 0.204), Er at (0.356, 0.250, 0.598), Hg at (0.256, 0.750, 0.083), Pb at (0.145, 0.750, 0.412) and Pb at (0.461, 0.750, 0.802).

8.
The following is a GGA-PBE calculation of an optimized crystal structure of Er2Hg2Pb, from Alexandria.

For the energy above the most stable polymorph in this dataset, the calculation gives 0 meV/atom.

The structure belongs to space group P4/mbm (No. 127); the cell edges are 8.401, 8.401 and 3.742 Å and the angles 90.00°, 90.00° and 90.00°. The asymmetric unit holds Er at (0.168, 0.332, 0.000), Hg at (0.129, 0.629, 0.500) and Pb at (0.000, 0.000, 0.500).